(1)
PmAl2Sn | PBE | relaxed

Output
Offset from the most stable computed form: 0.0 meV per atom
N(E_F): 1.76 states/eV/f.u.
Formation energy: -0.401 eV per atom

Structure (CIF):
```
data_PmAl2Sn
_chemical_formula_sum 'Pm1 Al2 Sn1'
_cell_length_a 4.5058
_cell_length_b 4.5058
_cell_length_c 4.4414
_cell_angle_alpha 90.00
_cell_angle_beta 90.00
_cell_angle_gamma 90.00
_symmetry_space_group_name_H-M 'P 4/m m m'
_symmetry_Int_Tables_number 123
_symmetry_space_group_name_Hall '-P 4 2'
loop_
_atom_site_label
_atom_site_type_symbol
_atom_site_fract_x
_atom_site_fract_y
_atom_site_fract_z
Pm1 Pm 0.0000 0.0000 0.0000
Al1 Al 0.0000 0.5000 0.5000
Sn1 Sn 0.5000 0.5000 0.0000
```



(2)
Pm7AlSn2 | PBE | relaxed

Output
N(E_F): 14.29 states/eV/f.u.
Formation energy: -0.286 eV per atom

Structure (CIF):
```
data_Pm7AlSn2
_chemical_formula_sum 'Pm7 Al1 Sn2'
_cell_length_a 5.3494
_cell_length_b 5.3494
_cell_length_c 12.9248
_cell_angle_alpha 90.00
_cell_angle_beta 90.00
_cell_angle_gamma 120.00
_symmetry_space_group_name_H-M 'P 3 m 1'
_symmetry_Int_Tables_number 156
_symmetry_space_group_name_Hall 'P 3 -2"'
loop_
_atom_site_label
_atom_site_type_symbol
_atom_site_fract_x
_atom_site_fract_y
_atom_site_fract_z
Pm1 Pm 0.0000 0.0000 0.0000
Pm2 Pm 0.0000 0.0000 0.2561
Pm3 Pm 0.0000 0.0000 0.7379
Pm4 Pm 0.3333 0.6667 0.4011
Pm5 Pm 0.3333 0.6667 0.8893
Pm6 Pm 0.6667 0.3333 0.1285
Pm7 Pm 0.6667 0.3333 0.5786
Al1 Al 0.3333 0.6667 0.1446
Sn1 Sn 0.0000 0.0000 0.4976
Sn2 Sn 0.6667 0.3333 0.8435
```



(3)
Pm5Al2Sn5 | PBE | relaxed

Output
N(E_F): 5.64 states/eV/f.u.
Formation energy: -0.641 eV per atom

Structure (CIF):
```
data_Pm5Al2Sn5
_chemical_formula_sum 'Pm10 Al4 Sn10'
_cell_length_a 16.1410
_cell_length_b 4.5035
_cell_length_c 11.7830
_cell_angle_alpha 90.00
_cell_angle_beta 129.59
_cell_angle_gamma 90.00
_symmetry_space_group_name_H-M 'C 1 2/m 1'
_symmetry_Int_Tables_number 12
_symmetry_space_group_name_Hall '-C 2y'
loop_
_atom_site_label
_atom_site_type_symbol
_atom_site_fract_x
_atom_site_fract_y
_atom_site_fract_z
Pm1 Pm 0.0000 0.0000 0.0000
Pm2 Pm 0.1108 0.0000 0.4251
Pm3 Pm 0.2018 0.0000 0.8333
Al1 Al 0.1393 0.5000 0.2531
Sn1 Sn 0.0000 0.5000 0.5000
Sn2 Sn 0.0636 0.5000 0.8465
Sn3 Sn 0.2469 0.5000 0.6862
```